This record from the Alexandria database describes a geometry-optimized LiMnPO4 structure. The functional is PBE with a Hubbard U.

Output
As for the total DFT energy (no corrections): -0.2622 Ha/atom. Its energy above the most stable polymorph in this dataset is 32 kJ/mol of formula units.

Structure (POSCAR):
```
LiMnPO4
1.0
-6.854 -2.349 4.447
-2.057 -1.909 -4.180
1.780 -10.556 -2.833
O P Mn Li
16 4 4 4
Direct
0.662 0.421 0.797
0.282 0.346 0.049
0.338 0.579 0.203
0.650 0.074 0.055
0.718 0.654 0.951
0.850 0.074 0.555
0.838 0.421 0.297
0.782 0.654 0.451
0.590 0.264 0.452
0.218 0.346 0.549
0.162 0.579 0.703
0.350 0.926 0.945
0.410 0.736 0.548
0.090 0.736 0.048
0.910 0.264 0.952
0.150 0.926 0.445
0.764 0.367 0.436
0.736 0.367 0.936
0.264 0.633 0.064
0.236 0.633 0.564
0.150 0.251 0.912
0.850 0.749 0.088
0.650 0.749 0.588
0.350 0.251 0.412
0.935 0.989 0.390
0.565 0.989 0.890
0.435 0.011 0.110
0.065 0.011 0.610
```